Entry 1:
! CrCoOs2 GGA-PBE optimized geometry; values from VASP
! * SG: I-42d (122)
! * total energy: -8.405 eV/atom
! * energy of formation from the pure elements: 1.392 eV/atom
&SYSTEM
  ibrav = 0, nat = 8, ntyp = 3
/
ATOMIC_SPECIES
Co 58.93 Co.upf
Os 190.23 Os.upf
Cr 52.00 Cr.upf
CELL_PARAMETERS angstrom
-1.216 -3.807 3.866
5.341 -1.537 0.166
2.869 0.493 5.386
ATOMIC_POSITIONS crystal
Co 0.000 0.000 0.000
Co 0.750 0.250 0.500
Os 0.632 0.125 0.250
Os 0.118 0.625 0.250
Os 0.375 0.368 0.750
Os 0.875 0.882 0.750
Cr 0.500 0.500 0.000
Cr 0.250 0.750 0.500

***

Entry 2:
! CrCoOs2 GGA-PBE optimized geometry; values from VASP
! * SG: R3m (160)
! * total energy: -9.403 eV/atom
! * energy of formation from the pure elements: 0.394 eV/atom
&SYSTEM
  ibrav = 0, nat = 4, ntyp = 3
/
ATOMIC_SPECIES
Cr 52.00 Cr.upf
Co 58.93 Co.upf
Os 190.23 Os.upf
CELL_PARAMETERS angstrom
-4.114 -0.405 0.142
-1.694 -3.741 0.497
-1.853 -0.930 3.899
ATOMIC_POSITIONS crystal
Cr 0.714 0.714 0.859
Co 0.490 0.490 0.530
Os 0.037 0.037 0.888
Os 0.259 0.259 0.223

***

Entry 3:
! Cr2CoOs GGA-PBE optimized geometry; values from VASP
! * SG: I-4m2 (119)
! * total energy: -9.317 eV/atom
! * energy of formation from the pure elements: 0.079 eV/atom
&SYSTEM
  ibrav = 0, nat = 4, ntyp = 3
/
ATOMIC_SPECIES
Co 58.93 Co.upf
Os 190.23 Os.upf
Cr 52.00 Cr.upf
CELL_PARAMETERS angstrom
-2.250 -1.472 3.565
0.107 -4.463 0.097
3.233 3.050 -0.433
ATOMIC_POSITIONS crystal
Co 0.750 0.250 0.500
Os 0.500 0.500 0.000
Cr 0.000 0.000 0.000
Cr 0.250 0.750 0.500